1.
! PaZnNi | Alexandria | GGA-PBE | optimized geometry; values from VASP
! * calculated density: 11535 kg/m3
! * uncorrected energy: -5.730 eV/atom
! * volume: 51 Å³/cell
! * SG: I4mm, No. 107
&SYSTEM
  ibrav = 0, nat = 3, ntyp = 3
/
ATOMIC_SPECIES
Ni 58.69 Ni.upf
Zn 65.41 Zn.upf
Pa 231.04 Pa.upf
CELL_PARAMETERS angstrom
-0.926 -2.657 1.217
1.990 0.361 2.304
-4.329 3.784 1.107
ATOMIC_POSITIONS crystal
Ni 0.679 0.679 0.358
Zn 0.306 0.306 0.613
Pa 0.015 0.015 0.030

---

2.
! Pa2ZnNi | Alexandria | GGA-PBE | optimized geometry; values from VASP
! * calculated density: 12619 kg/m3
! * energy above the lowest structure with this stoichiometry: 0.000 eV/f.u.
! * uncorrected energy: -6.592 eV/atom
! * volume: 77 Å³/cell
! * SG: P4/mmm, No. 123
&SYSTEM
  ibrav = 0, nat = 4, ntyp = 3
/
ATOMIC_SPECIES
Ni 58.69 Ni.upf
Zn 65.41 Zn.upf
Pa 231.04 Pa.upf
CELL_PARAMETERS angstrom
4.183 0.000 0.000
0.000 4.294 0.000
0.000 0.000 4.294
ATOMIC_POSITIONS crystal
Ni 0.500 0.000 0.000
Zn 0.500 0.500 0.500
Pa 0.000 0.000 0.500
Pa 0.000 0.500 0.000